The following is a DFT calculation (PBE+U) of a relaxed structure of MnPt2F.

For the total DFT energy (no corrections), the calculation gives -5.46 eV/atom. The calculation puts the magnetization at 5.04 Bohr magnetons per cell. The space group is Fm-3m. For the density of states at the Fermi level, the calculation gives 3.10 states/eV per cell. The relative energy among the computed polymorphs comes out at 0.000 eV/atom.

Lattice parameters (Å, degrees): 4.369 4.369 4.369 60.00 60.00 60.00
Atoms (fractional coordinates):
Mn: 0.000 0.000 0.000
Pt: 0.250 0.250 0.250
Pt: 0.750 0.750 0.750
F: 0.500 0.500 0.500